Entry 1:
Material: Na2VI
Method: DFT, PBE
State: optimized geometry

Values from the calculation:
Uncorrected energy ... -2.844 eV per atom
DOS(E_F) ... 1.40 states/eV/atom
Crystal system ... cubic
Volume ... 122 Å³/f.u.
Size of the total moment ... 4.81 μB/cell

a = 5.568 Å, b = 5.568 Å, c = 5.568 Å
α = 60.00°, β = 60.00°, γ = 60.00°
Fractional coordinates of all 4 atoms:
Na1 0.250 0.250 0.250
Na2 0.750 0.750 0.750
V1 0.000 0.000 0.000
I1 0.500 0.500 0.500



Entry 2:
Material: Na6VI8
Method: DFT, PBE
State: optimized geometry

Values from the calculation:
Uncorrected energy ... -3.047 eV per atom
Crystal system ... cubic
Volume ... 540 Å³/f.u.
Size of the total moment ... 3.00 μB/cell

a = 9.139 Å, b = 9.139 Å, c = 9.139 Å
α = 60.00°, β = 60.00°, γ = 60.00°
Fractional coordinates of all 15 atoms:
Na1 0.000 0.000 0.500
Na2 0.000 0.500 0.000
Na3 0.000 0.500 0.500
Na4 0.500 0.000 0.000
Na5 0.500 0.000 0.500
Na6 0.500 0.500 0.000
V1 0.000 0.000 0.000
I1 0.224 0.224 0.776
I2 0.224 0.776 0.224
I3 0.224 0.776 0.776
I4 0.250 0.250 0.250
I5 0.750 0.750 0.750
I6 0.776 0.224 0.224
I7 0.776 0.224 0.776
I8 0.776 0.776 0.224